Material: Nd2C3
Method: DFT, SCAN
State: single point on PBEsol structure

Spin magnetization in μB per cell: 0.00
Total DFT energy (no corrections) in eV/f.u.: -118.9

Unit cell a=7.3622 b=7.3622 c=7.3622 alpha=109.47 beta=109.47 gamma=109.47
Positions (direct):
Nd 0.0000 0.1031 0.5000
Nd 0.0000 0.6031 0.5000
Nd 0.1031 0.5000 0.0000
Nd 0.3969 0.3969 0.3969
Nd 0.5000 0.0000 0.1031
Nd 0.5000 0.0000 0.6031
Nd 0.6031 0.5000 0.0000
Nd 0.8969 0.8969 0.8969
C 0.0467 0.7967 0.2500
C 0.2033 0.9533 0.2500
C 0.2500 0.0467 0.7967
C 0.2500 0.2033 0.9533
C 0.2967 0.5467 0.7500
C 0.4533 0.7033 0.7500
C 0.5467 0.7500 0.2967
C 0.7033 0.7500 0.4533
C 0.7500 0.2967 0.5467
C 0.7500 0.4533 0.7033
C 0.7967 0.2500 0.0467
C 0.9533 0.2500 0.2033